Computed, not measured: an optimized crystal structure of HoMgZn5Pd2 at the PBE level of DFT.

Cell: 4.676 4.676 7.711 Å, 90.00 90.00 90.00°
Sites, in units of the cell vectors:
Mg 0.000 0.000 0.000
Zn 0.500 0.000 0.262
Pd 0.500 0.500 0.167
Zn 0.500 0.000 0.738
Ho 0.000 0.000 0.500
Zn 0.000 0.500 0.738
Pd 0.500 0.500 0.833
Zn 0.500 0.500 0.500
Zn 0.000 0.500 0.262

Properties
Its formation energy from the elements is -1.80 eV per formula unit. The value obtained for the calculated volume is 18.7 A^3/atom.